Record 1
## Mn6FeTc2 (GGA-PBE)

Data for crystalline Mn6FeTc2 at its relaxed geometry.

V: 12.0 A^3/atom
calculated total energy: -9.114 eV per atom
D(E_F): 8.967 states/eV/f.u.
M_tot: 1.37 Bohr magnetons per cell
formation energy: 0.243 eV/atom

Unit cell a=4.7849 b=4.7893 c=5.4335 alpha=90.00 beta=90.14 gamma=59.97
Closest atoms and distances in Å follow each position.
Fractional positions:
Tc (0.6668, 0.6666, 0.1323)  9 Mn 2.63-2.84, 3 Fe 2.85-2.86
Tc (0.3332, 0.3334, 0.8677)  9 Mn 2.63-2.84, 3 Fe 2.85-2.86
Mn (0.3553, 0.8223, 0.6683)  4 Mn 2.23-2.34, 1 Fe 2.33
Mn (0.1786, 0.1778, 0.3324)  4 Mn 2.23-2.35, 1 Fe 2.33
Mn (0.8214, 0.3564, 0.6676)  4 Mn 2.23-2.35, 1 Fe 2.33
Mn (0.8214, 0.8222, 0.6676)  4 Mn 2.23-2.35, 1 Fe 2.33
Mn (0.1786, 0.6436, 0.3324)  4 Mn 2.23-2.35, 1 Fe 2.33
Mn (0.6447, 0.1777, 0.3317)  4 Mn 2.23-2.34, 1 Fe 2.33
Fe (0.0000, 0.0000, 0.0000)  6 Mn 2.33

***

Record 2
## MnFeTc2 (GGA-PBE)

Data for crystalline MnFeTc2 at its relaxed geometry.

V: 13.0 A^3/atom
calculated total energy: -9.417 eV per atom
D(E_F): 5.284 states/eV/f.u.
M_tot: 2.44 Bohr magnetons per cell
formation energy: 0.174 eV/atom

Unit cell a=4.5336 b=4.5336 c=4.5859 alpha=80.56 beta=80.56 gamma=34.03
Closest atoms and distances in Å follow each position.
Fractional positions:
Mn (0.7500, 0.7500, 0.7500)  6 Tc 2.61-2.65, 4 Fe 2.65, 2 Mn 2.65
Tc (0.5020, 0.5020, 0.4988)  3 Mn 2.61-2.65, 3 Fe 2.62-2.63, 6 Tc 2.64-2.65
Tc (0.9980, 0.9980, 0.0012)  3 Mn 2.61-2.65, 3 Fe 2.62-2.63, 6 Tc 2.64-2.65
Fe (0.2500, 0.2500, 0.2500)  6 Tc 2.62-2.63, 4 Mn 2.65, 2 Fe 2.65

***

Record 3
## MnFe2Tc (GGA-PBE)

Data for crystalline MnFe2Tc at its relaxed geometry.

V: 12.4 A^3/atom
calculated total energy: -9.021 eV per atom
D(E_F): 3.658 states/eV/f.u.
M_tot: 6.36 Bohr magnetons per cell
formation energy: 0.095 eV/atom

Unit cell a=4.0765 b=2.5386 c=4.8773 alpha=79.27 beta=90.00 gamma=90.00
Closest atoms and distances in Å follow each position.
Fractional positions:
Fe (0.0000, 0.0093, 0.0121)  4 Fe 2.46-2.54, 2 Mn 2.49-2.57, 2 Tc 2.57
Fe (0.5000, 0.2476, 0.2447)  4 Fe 2.46-2.54, 2 Mn 2.52, 2 Tc 2.52-2.54
Mn (0.0000, 0.4904, 0.4994)  4 Fe 2.49-2.57, 2 Tc 2.51, 2 Mn 2.54
Tc (0.5000, 0.7527, 0.7438)  2 Mn 2.51, 4 Fe 2.52-2.57, 2 Tc 2.54